No. 1
! NaPb3Br7 | Alexandria via LeMat-Bulk | PBE | relaxed; values from VASP
! Symmetry ... No. 12
! DOS at the Fermi energy ... 0.00 states/eV/atom
! Formation energy without anion corrections ... -0.97 eV/atom
&SYSTEM
  ibrav = 0, nat = 11, ntyp = 3
/
ATOMIC_SPECIES
Pb 207.20 Pb.upf
Na 22.99 Na.upf
Br 79.90 Br.upf
ATOMIC_POSITIONS crystal
Pb 0.5000 0.0000 0.0000
Pb 0.0000 0.2310 0.7690
Pb 0.0000 0.7690 0.2310
Na 0.5000 0.5000 0.5000
Br 0.2639 0.0610 0.6261
Br 0.7441 0.8334 0.8334
Br 0.2559 0.1666 0.1666
Br 0.7361 0.9390 0.3739
Br 0.2639 0.6261 0.0610
Br 0.0000 0.5000 0.5000
Br 0.7361 0.3739 0.9390
CELL_PARAMETERS angstrom
7.7791 -0.6766 -1.4291
-1.6661 7.2342 -0.6552
-0.8653 -0.5357 7.3826



No. 2
! Na2Pb3Br8 | Alexandria via LeMat-Bulk | PBE | relaxed; values from VASP
! Symmetry ... No. 12
! DOS at the Fermi energy ... 0.00 states/eV/atom
! Formation energy without anion corrections ... -1.10 eV/atom
&SYSTEM
  ibrav = 0, nat = 13, ntyp = 3
/
ATOMIC_SPECIES
Br 79.90 Br.upf
Pb 207.20 Pb.upf
Na 22.99 Na.upf
ATOMIC_POSITIONS crystal
Br 0.6417 0.6377 0.7442
Br 0.3583 0.3623 0.2558
Br 0.1410 0.8800 0.7600
Br 0.6417 0.1065 0.7442
Br 0.8764 0.6181 0.2363
Br 0.3583 0.8935 0.2558
Br 0.8590 0.1200 0.2400
Br 0.1236 0.3819 0.7637
Pb 0.5000 0.0000 0.0000
Pb 0.0000 0.7470 0.0000
Pb 0.0000 0.2530 0.0000
Na 0.4286 0.2849 0.5698
Na 0.5714 0.7151 0.4302
CELL_PARAMETERS angstrom
-2.0893 -3.9670 -6.2727
-1.8850 -6.9302 5.0107
-5.4936 6.3811 -0.8935



No. 3
! NaPb2Br6 | Alexandria via LeMat-Bulk | PBE | relaxed; values from VASP
! Symmetry ... No. 58
! DOS at the Fermi energy ... 0.60 states/eV/atom
! Formation energy without anion corrections ... -0.90 eV/atom
&SYSTEM
  ibrav = 0, nat = 18, ntyp = 3
/
ATOMIC_SPECIES
Br 79.90 Br.upf
Na 22.99 Na.upf
Pb 207.20 Pb.upf
ATOMIC_POSITIONS crystal
Br 0.1645 0.2719 0.0001
Br 0.1823 0.2509 0.3345
Br 0.1823 0.2500 0.6657
Br 0.8177 0.7500 0.3343
Br 0.6645 0.2281 0.5001
Br 0.6823 0.2500 0.1657
Br 0.8177 0.7491 0.6655
Br 0.6823 0.2491 0.8345
Br 0.3177 0.7509 0.1655
Br 0.3355 0.7719 0.4999
Br 0.8355 0.7281 0.9999
Br 0.3177 0.7500 0.8343
Na 0.0000 0.0000 0.5000
Na 0.5000 0.5000 0.0000
Pb 0.4999 0.0004 0.3252
Pb 0.5001 0.9996 0.6748
Pb 0.0001 0.5004 0.1748
Pb 0.9999 0.4996 0.8252
CELL_PARAMETERS angstrom
-2.7283 6.4450 2.8243
-4.2771 0.5337 -5.3495
-8.7649 -6.4995 6.3594



No. 4
! Na3PbBr | Alexandria via LeMat-Bulk | PBE | relaxed; values from VASP
! Symmetry ... No. 221
! DOS at the Fermi energy ... 0.51 states/eV/atom
! Formation energy without anion corrections ... -0.46 eV/atom
! Excess energy over the best structure of this formula in the dataset ... 0.0000 eV per atom
&SYSTEM
  ibrav = 0, nat = 5, ntyp = 3
/
ATOMIC_SPECIES
Na 22.99 Na.upf
Br 79.90 Br.upf
Pb 207.20 Pb.upf
ATOMIC_POSITIONS crystal
Na 0.0000 0.0000 0.5000
Na 0.5000 0.0000 0.0000
Na 0.0000 0.5000 0.0000
Br 0.0000 0.0000 0.0000
Pb 0.5000 0.5000 0.5000
CELL_PARAMETERS angstrom
5.5286 0.0000 0.0000
0.0000 5.5286 0.0000
0.0000 0.0000 5.5286



No. 5
! Na3PbBr | Alexandria via LeMat-Bulk | PBE | relaxed; values from VASP
! Symmetry ... No. 221
! DOS at the Fermi energy ... 0.55 states/eV/atom
! Formation energy without anion corrections ... -0.16 eV/atom
! Excess energy over the best structure of this formula in the dataset ... 0.3002 eV per atom
&SYSTEM
  ibrav = 0, nat = 5, ntyp = 3
/
ATOMIC_SPECIES
Na 22.99 Na.upf
Br 79.90 Br.upf
Pb 207.20 Pb.upf
ATOMIC_POSITIONS crystal
Na 0.5000 0.0000 0.0000
Na 0.0000 0.5000 0.0000
Na 0.0000 0.0000 0.5000
Br 0.5000 0.5000 0.5000
Pb 0.0000 0.0000 0.0000
CELL_PARAMETERS angstrom
-0.5587 -5.9929 0.3256
4.6643 -0.6393 -3.7641
3.7769 -0.0970 4.6966



No. 6
! NaPb3Br | Alexandria via LeMat-Bulk | PBE | relaxed; values from VASP
! Symmetry ... No. 221
! DOS at the Fermi energy ... 0.38 states/eV/atom
! Formation energy without anion corrections ... 0.26 eV/atom
! Excess energy over the best structure of this formula in the dataset ... 0.0000 eV per atom
&SYSTEM
  ibrav = 0, nat = 5, ntyp = 3
/
ATOMIC_SPECIES
Br 79.90 Br.upf
Na 22.99 Na.upf
Pb 207.20 Pb.upf
ATOMIC_POSITIONS crystal
Br 0.0000 0.0000 0.0000
Na 0.5000 0.5000 0.5000
Pb 0.0000 0.0000 0.5000
Pb 0.0000 0.5000 0.0000
Pb 0.5000 0.0000 0.0000
CELL_PARAMETERS angstrom
-5.0847 1.5964 -2.3529
-1.2950 -5.5920 -0.9954
-2.5313 -0.3458 5.2356



No. 7
! NaPb3Br | Alexandria via LeMat-Bulk | PBE | relaxed; values from VASP
! Symmetry ... No. 221
! DOS at the Fermi energy ... 0.54 states/eV/atom
! Formation energy without anion corrections ... 0.39 eV/atom
! Excess energy over the best structure of this formula in the dataset ... 0.1271 eV per atom
&SYSTEM
  ibrav = 0, nat = 5, ntyp = 3
/
ATOMIC_SPECIES
Pb 207.20 Pb.upf
Na 22.99 Na.upf
Br 79.90 Br.upf
ATOMIC_POSITIONS crystal
Pb 0.0000 0.5000 0.0000
Pb 0.5000 0.0000 0.0000
Pb 0.0000 0.0000 0.5000
Na 0.0000 0.0000 0.0000
Br 0.5000 0.5000 0.5000
CELL_PARAMETERS angstrom
5.6545 0.0000 0.0000
0.0000 5.6545 0.0000
0.0000 0.0000 5.6545



No. 8
! NaPmPb2Br8 | Alexandria via LeMat-Bulk | PBE | relaxed; values from VASP
! Symmetry ... No. 10
! DOS at the Fermi energy ... 0.00 states/eV/atom
! Formation energy without anion corrections ... -1.33 eV/atom
&SYSTEM
  ibrav = 0, nat = 12, ntyp = 4
/
ATOMIC_SPECIES
Na 22.99 Na.upf
Pb 207.20 Pb.upf
Br 79.90 Br.upf
Pm 145.00 Pm.upf
ATOMIC_POSITIONS crystal
Na 0.0000 0.0000 0.5000
Pb 0.5000 0.5000 0.2574
Pb 0.5000 0.5000 0.7426
Br 0.8469 0.2335 0.7606
Br 0.6599 0.7369 0.5000
Br 0.1531 0.7665 0.2394
Br 0.1531 0.7666 0.7606
Br 0.6710 0.7578 0.0000
Br 0.3401 0.2631 0.5000
Br 0.3290 0.2422 0.0000
Br 0.8469 0.2334 0.2394
Pm 0.0000 0.0000 0.0000
CELL_PARAMETERS angstrom
-0.4672 0.5466 7.1652
6.4128 -2.2820 0.6641
3.0503 8.4415 -0.4450



No. 9
! NaPrPbBr6 | Alexandria via LeMat-Bulk | PBE | relaxed; values from VASP
! Symmetry ... No. 163
! DOS at the Fermi energy ... 0.00 states/eV/atom
! Formation energy without anion corrections ... -1.47 eV/atom
&SYSTEM
  ibrav = 0, nat = 18, ntyp = 4
/
ATOMIC_SPECIES
Br 79.90 Br.upf
Na 22.99 Na.upf
Pb 207.20 Pb.upf
Pr 140.91 Pr.upf
ATOMIC_POSITIONS crystal
Br 0.6535 0.6600 0.1259
Br 0.6535 0.9936 0.3741
Br 0.6600 0.0064 0.8741
Br 0.9936 0.3400 0.6259
Br 0.3400 0.9936 0.1259
Br 0.6600 0.6535 0.6259
Br 0.3465 0.0064 0.6259
Br 0.9936 0.6535 0.8741
Br 0.0064 0.3465 0.1259
Br 0.3465 0.3400 0.8741
Br 0.3400 0.3465 0.3741
Br 0.0064 0.6600 0.3741
Na 0.6667 0.3333 0.2500
Na 0.3333 0.6667 0.7500
Pb 0.0000 0.0000 0.0000
Pb 0.0000 0.0000 0.5000
Pr 0.6667 0.3333 0.7500
Pr 0.3333 0.6667 0.2500
CELL_PARAMETERS angstrom
-4.4758 5.4664 -2.5074
-2.0296 -7.1717 -0.8052
-6.1093 0.4053 11.7891



No. 10
! Na2PtPbBr | Alexandria via LeMat-Bulk | PBE | relaxed; values from VASP
! Symmetry ... No. 123
! DOS at the Fermi energy ... 2.48 states/eV/atom
! Formation energy without anion corrections ... 0.64 eV/atom
&SYSTEM
  ibrav = 0, nat = 5, ntyp = 4
/
ATOMIC_SPECIES
Na 22.99 Na.upf
Pb 207.20 Pb.upf
Pt 195.08 Pt.upf
Br 79.90 Br.upf
ATOMIC_POSITIONS crystal
Na 0.5000 0.0000 0.0000
Na 0.0000 0.0000 0.5000
Pb 0.0000 0.0000 0.0000
Pt 0.5000 0.5000 0.5000
Br 0.0000 0.5000 0.0000
CELL_PARAMETERS angstrom
6.0759 0.0000 0.0000
0.0000 5.5436 0.0000
0.0000 0.0000 6.0759



No. 11
! NaPuPb2Br8 | Alexandria via LeMat-Bulk | PBE | relaxed; values from VASP
! Symmetry ... No. 2
! DOS at the Fermi energy ... 0.89 states/eV/atom
! Formation energy without anion corrections ... -1.20 eV/atom
&SYSTEM
  ibrav = 0, nat = 12, ntyp = 4
/
ATOMIC_SPECIES
Br 79.90 Br.upf
Na 22.99 Na.upf
Pb 207.20 Pb.upf
Pu 244.00 Pu.upf
ATOMIC_POSITIONS crystal
Br 0.6711 0.7580 0.9963
Br 0.1538 0.7690 0.2404
Br 0.3289 0.2420 0.0037
Br 0.8498 0.2337 0.2406
Br 0.8462 0.2310 0.7596
Br 0.3403 0.2621 0.5010
Br 0.1502 0.7663 0.7594
Br 0.6597 0.7379 0.4990
Na 0.0000 0.0000 0.5000
Pb 0.5011 0.5005 0.2578
Pb 0.4989 0.4995 0.7422
Pu 0.0000 0.0000 0.0000
CELL_PARAMETERS angstrom
7.1836 0.0222 0.0270
0.0657 6.8183 0.0130
0.0448 0.0378 9.0012



No. 12
! Na2PuPbBr8 | Alexandria via LeMat-Bulk | PBE | relaxed; values from VASP
! Symmetry ... No. 10
! DOS at the Fermi energy ... 0.48 states/eV/atom
! Formation energy without anion corrections ... -1.26 eV/atom
&SYSTEM
  ibrav = 0, nat = 12, ntyp = 4
/
ATOMIC_SPECIES
Br 79.90 Br.upf
Na 22.99 Na.upf
Pu 244.00 Pu.upf
Pb 207.20 Pb.upf
ATOMIC_POSITIONS crystal
Br 0.1565 0.7793 0.2257
Br 0.6822 0.7438 0.0000
Br 0.3372 0.2714 0.5000
Br 0.6628 0.7286 0.5000
Br 0.1565 0.7794 0.7743
Br 0.8435 0.2207 0.7743
Br 0.8435 0.2206 0.2257
Br 0.3178 0.2562 0.0000
Na 0.5000 0.5000 0.2576
Na 0.5000 0.5000 0.7424
Pu 0.0000 0.0000 0.0000
Pb 0.0000 0.0000 0.5000
CELL_PARAMETERS angstrom
7.1016 -0.1936 -0.0039
-0.2311 6.8309 -0.0079
0.0049 0.0106 8.9228



Question: DOS at the Fermi energy of number 1 (NaPb3Br7)?
Answer: 0.00 states/eV/atom